(1)
First-principles (PBEsol) data for a relaxed Mg2HgPb crystal, as listed in Alexandria.

a b c (Å): 3.446 4.452 6.126
angles (deg): 90.00 90.00 90.00
Element x y z (fractional)
Mg (0.000, 0.000, 0.000)
Mg (0.500, 0.500, 0.285)
Hg (0.500, 0.500, 0.817)
Pb (0.000, 0.000, 0.507)

Calculated values
* symmetry: Pmm2 (25)
* polymorph energy (0 for the lowest one): 0.073 eV per atom

***

(2)
First-principles (PBEsol) data for a relaxed Mg2HgPb crystal, as listed in Alexandria.

a b c (Å): 3.667 3.667 7.042
angles (deg): 90.00 90.00 90.00
Element x y z (fractional)
Mg (0.000, 0.000, 0.000)
Mg (0.500, 0.500, 0.256)
Hg (0.500, 0.500, 0.813)
Pb (0.000, 0.000, 0.520)

Calculated values
* symmetry: P4mm (99)
* polymorph energy (0 for the lowest one): 0.101 eV per atom

***

(3)
First-principles (PBEsol) data for a relaxed Mg2HgPb crystal, as listed in Alexandria.

a b c (Å): 4.918 4.918 6.098
angles (deg): 101.42 101.42 40.50
Element x y z (fractional)
Mg (0.244, 0.244, 0.226)
Mg (0.756, 0.756, 0.774)
Hg (0.500, 0.500, 0.000)
Pb (0.000, 0.000, 0.500)

Calculated values
* symmetry: C2/m (12)
* polymorph energy (0 for the lowest one): 0.041 eV per atom

***

(4)
First-principles (PBEsol) data for a relaxed MgHgPb2 crystal, as listed in Alexandria.

a b c (Å): 3.563 4.888 6.239
angles (deg): 90.00 106.73 90.00
Element x y z (fractional)
Mg (0.000, 0.000, 0.000)
Hg (0.870, 0.500, 0.735)
Pb (0.267, 0.000, 0.531)
Pb (0.605, 0.500, 0.204)

Calculated values
* symmetry: Pm (6)

***

(5)
First-principles (PBEsol) data for a relaxed MgHgPb2 crystal, as listed in Alexandria.

a b c (Å): 3.370 3.370 10.278
angles (deg): 90.00 90.00 114.05
Element x y z (fractional)
Mg (0.000, 0.000, 0.000)
Hg (0.000, 0.000, 0.500)
Pb (0.500, 0.500, 0.246)
Pb (0.500, 0.500, 0.754)

Calculated values
* symmetry: Cmmm (65)

***

(6)
First-principles (PBEsol) data for a relaxed MgHgPb2 crystal, as listed in Alexandria.

a b c (Å): 5.724 5.724 5.724
angles (deg): 131.30 131.30 71.34
Element x y z (fractional)
Mg (0.000, 0.000, 0.000)
Hg (0.250, 0.750, 0.500)
Pb (0.500, 0.500, 0.000)
Pb (0.750, 0.250, 0.500)

Calculated values
* symmetry: I-4m2 (119)

***

(7)
First-principles (PBEsol) data for a relaxed MgHgPb2 crystal, as listed in Alexandria.

a b c (Å): 3.489 3.489 8.575
angles (deg): 90.00 90.00 90.00
Element x y z (fractional)
Mg (0.000, 0.000, 0.000)
Hg (0.000, 0.000, 0.500)
Pb (0.500, 0.500, 0.239)
Pb (0.500, 0.500, 0.761)

Calculated values
* symmetry: P4/mmm (123)

***

(8)
First-principles (PBEsol) data for a relaxed Mg2HgPb crystal, as listed in Alexandria.

a b c (Å): 5.790 5.790 5.790
angles (deg): 136.07 136.07 63.87
Element x y z (fractional)
Mg (0.000, 0.000, 0.000)
Mg (0.750, 0.250, 0.500)
Hg (0.250, 0.750, 0.500)
Pb (0.500, 0.500, 0.000)

Calculated values
* symmetry: I-4m2 (119)
* polymorph energy (0 for the lowest one): 0.066 eV per atom

***

(9)
First-principles (PBEsol) data for a relaxed MgHg3Pd crystal, as listed in Alexandria.

a b c (Å): 5.111 5.111 5.111
angles (deg): 90.00 90.00 90.00
Element x y z (fractional)
Mg (0.000, 0.000, 0.000)
Hg (0.000, 0.000, 0.500)
Hg (0.000, 0.500, 0.000)
Hg (0.500, 0.000, 0.000)
Pd (0.500, 0.500, 0.500)

Calculated values
* symmetry: Pm-3m (221)

***

(10)
First-principles (PBEsol) data for a relaxed RbMgHg2Pd crystal, as listed in Alexandria.

a b c (Å): 6.057 6.057 6.495
angles (deg): 90.00 90.00 90.00
Element x y z (fractional)
Rb (0.000, 0.000, 0.000)
Mg (0.000, 0.000, 0.500)
Hg (0.000, 0.500, 0.000)
Hg (0.500, 0.000, 0.000)
Pd (0.500, 0.500, 0.500)

Calculated values
* symmetry: P4/mmm (123)

***

(11)
First-principles (PBEsol) data for a relaxed PmMgHg2 crystal, as listed in Alexandria.

a b c (Å): 5.071 5.071 5.071
angles (deg): 60.00 60.00 60.00
Element x y z (fractional)
Pm (0.000, 0.000, 0.000)
Mg (0.500, 0.500, 0.500)
Hg (0.250, 0.250, 0.250)
Hg (0.750, 0.750, 0.750)

Calculated values
* symmetry: Fm-3m (225)

***

(12)
First-principles (PBEsol) data for a relaxed PrMgHg2 crystal, as listed in Alexandria.

a b c (Å): 5.123 5.123 5.123
angles (deg): 60.00 60.00 60.00
Element x y z (fractional)
Pr (0.000, 0.000, 0.000)
Mg (0.500, 0.500, 0.500)
Hg (0.250, 0.250, 0.250)
Hg (0.750, 0.750, 0.750)

Calculated values
* symmetry: Fm-3m (225)

***

(13)
First-principles (PBEsol) data for a relaxed Mg4HgPt crystal, as listed in Alexandria.

a b c (Å): 5.437 5.437 5.437
angles (deg): 60.00 60.00 60.00
Element x y z (fractional)
Mg (0.124, 0.124, 0.124)
Mg (0.124, 0.124, 0.627)
Mg (0.124, 0.627, 0.124)
Mg (0.627, 0.124, 0.124)
Hg (0.500, 0.500, 0.500)
Pt (0.750, 0.750, 0.750)

Calculated values
* symmetry: F-43m (216)

***

(14)
First-principles (PBEsol) data for a relaxed Mg2HgPt crystal, as listed in Alexandria.

a b c (Å): 4.636 4.636 3.237
angles (deg): 90.00 90.00 90.00
Element x y z (fractional)
Mg (0.000, 0.500, 0.000)
Mg (0.500, 0.000, 0.000)
Hg (0.000, 0.000, 0.500)
Pt (0.500, 0.500, 0.500)

Calculated values
* symmetry: P4/mmm (123)

***

(15)
First-principles (PBEsol) data for a relaxed MgHg2Pt crystal, as listed in Alexandria.

a b c (Å): 4.104 4.104 5.178
angles (deg): 113.22 113.22 90.06
Element x y z (fractional)
Mg (0.000, 0.000, 0.000)
Hg (0.250, 0.750, 0.500)
Hg (0.500, 0.500, 0.000)
Pt (0.750, 0.250, 0.500)

Calculated values
* symmetry: C2 (5)

***

(16)
First-principles (PBEsol) data for a relaxed Mg2HgPt crystal, as listed in Alexandria.

a b c (Å): 5.165 5.165 5.165
angles (deg): 134.43 134.43 66.42
Element x y z (fractional)
Mg (0.000, 0.000, 0.000)
Mg (0.750, 0.250, 0.500)
Hg (0.500, 0.500, 0.000)
Pt (0.250, 0.750, 0.500)

Calculated values
* symmetry: I-4m2 (119)

***

(17)
First-principles (PBEsol) data for a relaxed MgHg2Pt crystal, as listed in Alexandria.

a b c (Å): 3.045 4.869 5.084
angles (deg): 90.00 90.62 90.00
Element x y z (fractional)
Mg (0.000, 0.000, 0.000)
Hg (0.273, 0.500, 0.748)
Hg (0.727, 0.500, 0.252)
Pt (0.500, 0.000, 0.500)

Calculated values
* symmetry: P2/m (10)

***

(18)
First-principles (PBEsol) data for a relaxed Mg2HgPt crystal, as listed in Alexandria.

a b c (Å): 3.167 3.167 7.097
angles (deg): 90.00 90.00 90.00
Element x y z (fractional)
Mg (0.000, 0.000, 0.218)
Mg (0.000, 0.000, 0.782)
Hg (0.500, 0.500, 0.500)
Pt (0.500, 0.500, 0.000)

Calculated values
* symmetry: P4/mmm (123)

***

(19)
First-principles (PBEsol) data for a relaxed MgHg4Pt crystal, as listed in Alexandria.

a b c (Å): 5.590 5.590 5.590
angles (deg): 60.00 60.00 60.00
Element x y z (fractional)
Mg (0.000, 0.000, 0.000)
Hg (0.126, 0.625, 0.625)
Hg (0.625, 0.126, 0.625)
Hg (0.625, 0.625, 0.126)
Hg (0.625, 0.625, 0.625)
Pt (0.250, 0.250, 0.250)

Calculated values
* symmetry: F-43m (216)

***

(20)
First-principles (PBEsol) data for a relaxed Rb3MgHg crystal, as listed in Alexandria.

a b c (Å): 7.176 7.176 7.176
angles (deg): 90.00 90.00 90.00
Element x y z (fractional)
Rb (0.000, 0.000, 0.500)
Rb (0.000, 0.500, 0.000)
Rb (0.500, 0.000, 0.000)
Mg (0.000, 0.000, 0.000)
Hg (0.500, 0.500, 0.500)

Calculated values
* symmetry: Pm-3m (221)

***

(21)
First-principles (PBEsol) data for a relaxed Mg2ReHg crystal, as listed in Alexandria.

a b c (Å): 4.203 4.203 3.867
angles (deg): 90.00 90.00 90.00
Element x y z (fractional)
Mg (0.000, 0.500, 0.000)
Mg (0.500, 0.000, 0.000)
Re (0.000, 0.000, 0.500)
Hg (0.500, 0.500, 0.500)

Calculated values
* symmetry: P4/mmm (123)

***

(22)
First-principles (PBEsol) data for a relaxed Mg2ReHg crystal, as listed in Alexandria.

a b c (Å): 3.364 3.364 6.245
angles (deg): 90.00 90.00 90.00
Element x y z (fractional)
Mg (0.000, 0.000, 0.000)
Mg (0.500, 0.500, 0.280)
Re (0.000, 0.000, 0.494)
Hg (0.500, 0.500, 0.750)

Calculated values
* symmetry: P4mm (99)

***

(23)
First-principles (PBEsol) data for a relaxed Mg2ReHg crystal, as listed in Alexandria.

a b c (Å): 9.665 9.665 9.665
angles (deg): 17.50 17.50 17.50
Element x y z (fractional)
Mg (0.245, 0.245, 0.245)
Mg (0.755, 0.755, 0.755)
Re (0.500, 0.500, 0.500)
Hg (0.000, 0.000, 0.000)

Calculated values
* symmetry: R-3m (166)

***

(24)
First-principles (PBEsol) data for a relaxed MgReSn2Hg crystal, as listed in Alexandria.

a b c (Å): 5.182 5.182 4.866
angles (deg): 90.00 90.00 90.00
Element x y z (fractional)
Mg (0.000, 0.000, 0.000)
Re (0.000, 0.000, 0.500)
Sn (0.000, 0.500, 0.000)
Sn (0.500, 0.000, 0.000)
Hg (0.500, 0.500, 0.500)

Calculated values
* symmetry: P4/mmm (123)

***

(25)
First-principles (PBEsol) data for a relaxed MgHgRh2 crystal, as listed in Alexandria.

a b c (Å): 3.235 4.399 4.399
angles (deg): 90.00 90.00 90.00
Element x y z (fractional)
Mg (0.000, 0.000, 0.000)
Hg (0.000, 0.500, 0.499)
Rh (0.500, 0.000, 0.500)
Rh (0.500, 0.500, 0.999)

Calculated values
* symmetry: Pmm2 (25)

***

(26)
First-principles (PBEsol) data for a relaxed MgHgRh2 crystal, as listed in Alexandria.

a b c (Å): 4.740 4.740 4.896
angles (deg): 100.59 100.59 35.54
Element x y z (fractional)
Mg (0.000, 0.000, 0.000)
Hg (0.500, 0.500, 0.500)
Rh (0.254, 0.254, 0.762)
Rh (0.746, 0.746, 0.238)

Calculated values
* symmetry: C2/m (12)

***

(27)
First-principles (PBEsol) data for a relaxed MgHgRh2 crystal, as listed in Alexandria.

a b c (Å): 9.132 9.132 9.132
angles (deg): 18.20 18.20 18.20
Element x y z (fractional)
Mg (0.000, 0.000, 0.000)
Hg (0.240, 0.240, 0.240)
Rh (0.487, 0.487, 0.487)
Rh (0.745, 0.745, 0.745)

Calculated values
* symmetry: R3m (160)

***

(28)
First-principles (PBEsol) data for a relaxed MgHg2Ru crystal, as listed in Alexandria.

a b c (Å): 4.649 4.649 4.649
angles (deg): 120.65 120.65 88.88
Element x y z (fractional)
Mg (0.000, 0.000, 0.000)
Hg (0.250, 0.750, 0.500)
Hg (0.750, 0.250, 0.500)
Ru (0.500, 0.500, 0.000)

Calculated values
* symmetry: I4/mmm (139)

***

(29)
First-principles (PBEsol) data for a relaxed Mg2HgRu crystal, as listed in Alexandria.

a b c (Å): 4.545 4.545 4.545
angles (deg): 60.00 60.00 60.00
Element x y z (fractional)
Mg (0.250, 0.250, 0.250)
Mg (0.750, 0.750, 0.750)
Hg (0.000, 0.000, 0.000)
Ru (0.500, 0.500, 0.500)

Calculated values
* symmetry: Fm-3m (225)

***

(30)
First-principles (PBEsol) data for a relaxed Mg2HgRu crystal, as listed in Alexandria.

a b c (Å): 2.959 4.128 5.696
angles (deg): 90.00 90.00 90.00
Element x y z (fractional)
Mg (0.000, 0.000, 0.000)
Mg (0.500, 0.500, 0.289)
Hg (0.500, 0.500, 0.760)
Ru (0.000, 0.000, 0.488)

Calculated values
* symmetry: Pmm2 (25)

***

no.,formation energy (meV per atom),DFT total energy (eV/atom)
1,-121.6,-2.1216
2,-93.1,-2.0930
3,-153.8,-2.1538
4,-58.3,-2.6286
5,12.7,-2.5577
6,-45.8,-2.6162
7,-25.6,-2.5960
8,-128.6,-2.1286
9,641.0,-1.2343
10,1163.4,-0.8035
11,-566.9,-2.5638
12,-557.1,-2.5659
13,20.9,-2.3789
14,-512.7,-3.2538
15,-264.5,-2.7181
16,-502.1,-3.2432
17,-168.8,-2.6224
18,-563.3,-3.3045
19,200.1,-1.6246
20,301.9,-0.7700
21,340.9,-3.9924
22,482.2,-3.8511
23,255.3,-4.0780
24,1443.9,-3.3830
25,-146.3,-4.7866
26,-98.1,-4.7383
27,74.0,-4.5662
28,152.5,-3.1033
29,5.2,-3.5382
30,101.0,-3.4424